Record 1
A plane-wave DFT calculation with PBE was carried out for a geometry-optimized Nd3ZnP2Pt9 structure.

Lattice parameters (Å, degrees): 6.252 6.252 9.250 90.00 90.00 120.00
Atoms (fractional coordinates):
Pt: 0.707 0.853 0.282
Pt: 0.147 0.293 0.282
Pt: 0.000 0.500 0.000
Pt: 0.500 0.000 0.000
Pt: 0.147 0.853 0.282
Pt: 0.853 0.707 0.718
Pt: 0.293 0.147 0.718
Pt: 0.853 0.147 0.718
Pt: 0.500 0.500 0.000
Nd: 0.000 0.000 0.000
Nd: 0.333 0.667 0.695
Nd: 0.667 0.333 0.305
P: 0.667 0.333 0.825
P: 0.333 0.667 0.175
Zn: 0.000 0.000 0.500

## Properties
The value obtained for the raw total energy is -6.1053 eV per atom. The calculation puts the energy of formation from the pure elements at -0.721 eV per atom. For the volume, the calculation gives 313 Å³/cell. As for the calculated density: 12.28 g/cm³.

***

Record 2
A plane-wave DFT calculation with PBE was carried out for a geometry-optimized ThTlI2 structure.

Lattice parameters (Å, degrees): 3.859 3.859 12.005 80.75 80.75 60.00
Atoms (fractional coordinates):
Tl: 0.000 0.000 0.000
Th: 0.500 0.500 0.500
I: 0.899 0.899 0.302
I: 0.101 0.101 0.698

## Properties
The value obtained for the raw total energy is -3.9172 eV per atom. For the volume, the calculation gives 152 Å³/cell. For the uncorrected formation energy, the calculation gives -67.1 kJ per mole of atoms. As for the calculated density: 7.53 g/cm³.

***

Record 3
A plane-wave DFT calculation with PBE was carried out for a geometry-optimized LiYTl structure.

Lattice parameters (Å, degrees): 5.445 5.445 5.445 143.51 128.13 65.07
Atoms (fractional coordinates):
Tl: 0.330 0.330 0.000
Y: 0.671 0.671 0.000
Li: 0.999 0.999 0.000

## Properties
The value obtained for the raw total energy is -3.7341 eV per atom. The calculation puts the energy of formation from the pure elements at -0.153 eV per atom. For the volume, the calculation gives 75 Å³/cell. As for the calculated density: 6.69 g/cm³. The energy relative to the lowest polymorph listed for this composition is 149 meV per atom.

***

Record 4
A plane-wave DFT calculation with PBE was carried out for a geometry-optimized Tl2AsAu2 structure.

Lattice parameters (Å, degrees): 8.420 8.420 3.364 90.00 90.00 90.00
Atoms (fractional coordinates):
Au: 0.616 0.884 0.500
Au: 0.884 0.384 0.500
Au: 0.116 0.616 0.500
Au: 0.384 0.116 0.500
As: 0.000 0.000 0.000
As: 0.500 0.500 0.000
Tl: 0.185 0.315 0.000
Tl: 0.685 0.185 0.000
Tl: 0.315 0.815 0.000
Tl: 0.815 0.685 0.000

## Properties
The value obtained for the raw total energy is -2.9036 eV per atom. The calculation puts the energy of formation from the pure elements at 0.284 eV per atom. For the volume, the calculation gives 239 Å³/cell. As for the calculated density: 12.22 g/cm³. The energy relative to the lowest polymorph listed for this composition is 286 meV per atom.